DFT (PBE-GGA) results for an optimized crystal structure of Ca2Al.

Structure (POSCAR):
```
Ca2Al
1.0
2.7289 4.6855 -0.7182
-2.7289 4.6855 -0.7182
0.0000 1.0508 6.8921
Ca Al
4 2
Direct
0.5000 0.5000 0.0000
0.5000 0.5000 0.5000
0.1673 0.1673 0.2500
0.8327 0.8327 0.7500
0.1655 0.1655 0.7499
0.8345 0.8345 0.2501
```

Properties
**Space group**: No. 63
**ρ**: 1.97 g/cm3
**E_form**: -0.4 eV/f.u.